Density functional theory data (PBE) for a relaxed structure of YTa2Te.

Cell lengths 5.494, 5.494, 4.993 Å; angles 102.65, 102.65, 36.56 degrees
Element x y z (fractional)
1 Y 0.000 0.000 0.000
2 Ta 0.240 0.240 0.720
3 Ta 0.760 0.760 0.280
4 Te 0.500 0.500 0.500

Summary:
SG   C2/m (12)
Raw total energy   -8.225 eV per atom